Record 1
# LaPm7Sm3

A geometry-optimized LaPm7Sm3 structure (PBE, Alexandria).

Results
The calculated total energy is -50.37 eV/cell. The calculation puts the distance to the lowest polymorph of the same formula at 0 meV/atom. The value obtained for the formation energy is 0.1788 eV per atom. The total magnetization is 0.000 μB per formula unit.

Cell and atoms, written as CIF:
```
data_LaPm7Sm3
_chemical_formula_sum 'La1 Pm7 Sm3'
_space_group_name_H-M_alt 'P 3 m 1'
_space_group_IT_number 156
_cell_length_a 7.2455
_cell_length_b 7.2455
_cell_length_c 8.7806
_cell_angle_alpha 90.00
_cell_angle_beta 90.00
_cell_angle_gamma 120.00
loop_
_space_group_symop_operation_xyz
'x,y,z'
'-y,x-y,z'
'-x+y,-x,z'
'-y,-x,z'
'-x+y,y,z'
'x,x-y,z'
loop_
_atom_site_label
_atom_site_fract_x
_atom_site_fract_y
_atom_site_fract_z
La1 0.0000 0.0000 0.0000
Pm1 0.0012 0.5006 0.0092
Pm2 0.3325 0.1663 0.6697
Pm3 0.3333 0.6667 0.6793
Sm1 0.1670 0.3340 0.3408
```

Record 2
# La5Pm2Sm2

A geometry-optimized La5Pm2Sm2 structure (PBE, Alexandria).

Results
The calculated total energy is -168.07 eV/cell. The calculation puts the distance to the lowest polymorph of the same formula at 154 meV/atom. The value obtained for the formation energy is 0.1733 eV per atom. The total magnetization is 0.000 μB per formula unit.

Cell and atoms, written as CIF:
```
data_La5Pm2Sm2
_chemical_formula_sum 'La20 Pm8 Sm8'
_space_group_name_H-M_alt 'I m a 2'
_space_group_IT_number 46
_cell_length_a 15.1583
_cell_length_b 11.9258
_cell_length_c 7.0177
_cell_angle_alpha 90.00
_cell_angle_beta 90.00
_cell_angle_gamma 90.00
loop_
_space_group_symop_operation_xyz
'x,y,z'
'-x,-y,z'
'-x+1/2,y,z'
'x+1/2,-y,z'
'x+1/2,y+1/2,z+1/2'
'-x+1/2,-y+1/2,z+1/2'
'-x,y+1/2,z+1/2'
'x,-y+1/2,z+1/2'
loop_
_atom_site_label
_atom_site_fract_x
_atom_site_fract_y
_atom_site_fract_z
La1 0.0518 0.2297 0.0000
La2 0.1442 0.7275 0.3401
La3 0.2500 0.2458 0.8228
Pm1 0.1294 0.5063 0.6735
Sm1 0.0000 0.0000 0.6469
Sm2 0.2500 0.5050 0.1200
```

Record 3
# La4PmSm3

A geometry-optimized La4PmSm3 structure (PBE, Alexandria).

Results
The calculated total energy is -73.95 eV/cell. The calculation puts the distance to the lowest polymorph of the same formula at 0 meV/atom. The value obtained for the formation energy is 0.2055 eV per atom. The total magnetization is 0.000 μB per formula unit.

Cell and atoms, written as CIF:
```
data_La4PmSm3
_chemical_formula_sum 'La8 Pm2 Sm6'
_space_group_name_H-M_alt 'C 1 2/m 1'
_space_group_IT_number 12
_cell_length_a 25.5997
_cell_length_b 3.5253
_cell_length_c 6.3365
_cell_angle_alpha 90.00
_cell_angle_beta 93.52
_cell_angle_gamma 90.00
loop_
_space_group_symop_operation_xyz
'x,y,z'
'-x,-y,-z'
'-x,y,-z'
'x,-y,z'
'x+1/2,y+1/2,z'
'-x+1/2,-y+1/2,-z'
'-x+1/2,y+1/2,-z'
'x+1/2,-y+1/2,z'
loop_
_atom_site_label
_atom_site_fract_x
_atom_site_fract_y
_atom_site_fract_z
La1 0.1059 0.0000 0.2384
La2 0.2204 0.5000 0.2435
Pm1 0.0000 0.5000 0.0000
Sm1 0.0000 0.0000 0.5000
Sm2 0.1427 0.0000 0.7471
```

Record 4
# La2Pm7Sm3

A geometry-optimized La2Pm7Sm3 structure (PBE, Alexandria).

Results
The calculated total energy is -56.43 eV/cell. The calculation puts the distance to the lowest polymorph of the same formula at 0 meV/atom. The value obtained for the formation energy is 0.0696 eV per atom. The total magnetization is 0.000 μB per formula unit.

Cell and atoms, written as CIF:
```
data_La2Pm7Sm3
_chemical_formula_sum 'La2 Pm7 Sm3'
_space_group_name_H-M_alt 'P 1 2/m 1'
_space_group_IT_number 10
_cell_length_a 6.5112
_cell_length_b 3.6030
_cell_length_c 17.9588
_cell_angle_alpha 90.00
_cell_angle_beta 96.22
_cell_angle_gamma 90.00
loop_
_space_group_symop_operation_xyz
'x,y,z'
'-x,-y,-z'
'-x,y,-z'
'x,-y,z'
loop_
_atom_site_label
_atom_site_fract_x
_atom_site_fract_y
_atom_site_fract_z
La1 0.0589 0.0000 0.1699
Pm1 0.0000 0.5000 0.5000
Pm2 0.2272 0.0000 0.6664
Pm3 0.2573 0.0000 0.9983
Pm4 0.2757 0.5000 0.3360
Sm1 0.4526 0.5000 0.8403
Sm2 0.5000 0.0000 0.5000
```

Record 5
# LaPm7Sm4

A geometry-optimized LaPm7Sm4 structure (PBE, Alexandria).

Results
The calculated total energy is -108.64 eV/cell. The calculation puts the distance to the lowest polymorph of the same formula at 218 meV/atom. The value obtained for the formation energy is 0.2281 eV per atom. The total magnetization is 0.004 μB per formula unit.

Cell and atoms, written as CIF:
```
data_LaPm7Sm4
_chemical_formula_sum 'La2 Pm14 Sm8'
_space_group_name_H-M_alt 'C 1 2/m 1'
_space_group_IT_number 12
_cell_length_a 12.2208
_cell_length_b 6.0896
_cell_length_c 12.9167
_cell_angle_alpha 90.00
_cell_angle_beta 117.93
_cell_angle_gamma 90.00
loop_
_space_group_symop_operation_xyz
'x,y,z'
'-x,-y,-z'
'-x,y,-z'
'x,-y,z'
'x+1/2,y+1/2,z'
'-x+1/2,-y+1/2,-z'
'-x+1/2,y+1/2,-z'
'x+1/2,-y+1/2,z'
loop_
_atom_site_label
_atom_site_fract_x
_atom_site_fract_y
_atom_site_fract_z
La1 0.0000 0.0000 0.0000
Pm1 0.0000 0.5000 0.0000
Pm2 0.0601 0.0000 0.3303
Pm3 0.1304 0.5000 0.5018
Pm4 0.2093 0.0000 0.9206
Sm1 0.1344 0.5000 0.7760
Sm2 0.2476 0.0000 0.6809
```

Record 6
# La8Pm3Sm

A geometry-optimized La8Pm3Sm structure (PBE, Alexandria).

Results
The calculated total energy is -109.95 eV/cell. The value obtained for the formation energy is 0.2845 eV per atom. The total magnetization is 0.000 μB per formula unit.

Cell and atoms, written as CIF:
```
data_La8Pm3Sm
_chemical_formula_sum 'La16 Pm6 Sm2'
_space_group_name_H-M_alt 'I m m m'
_space_group_IT_number 71
_space_group_name_Hall '-I 2 2'
_cell_length_a 6.8456
_cell_length_b 11.3358
_cell_length_c 11.8294
_cell_angle_alpha 90.00
_cell_angle_beta 90.00
_cell_angle_gamma 90.00
loop_
_atom_site_label
_atom_site_fract_x
_atom_site_fract_y
_atom_site_fract_z
La1 0.0000 0.1652 0.2487
La2 0.2235 0.2726 0.0000
Pm1 0.0000 0.0000 0.5000
Pm2 0.0000 0.5000 0.2390
Sm1 0.0000 0.0000 0.0000
```